Entry 1:
DFT (PBE) results for a geometry-optimized Ge2SeO structure.

The polymorph energy (0 for the lowest one) is 129 meV per atom. Its crystal system is tetragonal.

It has space group I-42d (No. 122), with a = 5.148 Å, b = 5.148 Å, c = 12.846 Å, α = 90.00°, β = 90.00° and γ = 90.00°. The asymmetric unit holds Ge at (0.147, 0.250, 0.125), Se at (0.000, 0.000, 0.500) and O at (0.000, 0.000, 0.000).

Entry 2:
DFT (PBE) results for a geometry-optimized GeSe2O6 structure.

The polymorph energy (0 for the lowest one) is 16 meV per atom. Its crystal system is cubic.

It has space group Pa-3 (No. 205), with a = 7.942 Å, b = 7.942 Å, c = 7.942 Å, α = 90.00°, β = 90.00° and γ = 90.00°. The asymmetric unit holds Ge at (0.000, 0.000, 0.000), Se at (0.172, 0.672, 0.828) and O at (0.029, 0.738, 0.468).

Entry 3:
DFT (PBE) results for a geometry-optimized GeSeO3 structure.

Its crystal system is cubic. As for the total energy: -4.99 eV/atom.

It has space group Pm-3m (No. 221), with a = 3.752 Å, b = 3.752 Å, c = 3.752 Å, α = 90.00°, β = 90.00° and γ = 90.00°. The asymmetric unit holds Ge at (0.000, 0.000, 0.000), Se at (0.500, 0.500, 0.500) and O at (0.000, 0.000, 0.500).

Entry 4:
DFT (PBE) results for a geometry-optimized GeSe3O structure.

The polymorph energy (0 for the lowest one) is 723 meV per atom. Its crystal system is cubic.

It has space group Pm-3m (No. 221), with a = 4.943 Å, b = 4.943 Å, c = 4.943 Å, α = 90.00°, β = 90.00° and γ = 90.00°. The asymmetric unit holds Ge at (0.000, 0.000, 0.000), Se at (0.000, 0.000, 0.500) and O at (0.500, 0.500, 0.500).

Entry 5:
DFT (PBE) results for a geometry-optimized GeSe2O6 structure.

The polymorph energy (0 for the lowest one) is 0 meV per atom. Its crystal system is monoclinic.

It has space group P2_1/c (No. 14), with a = 5.144 Å, b = 6.950 Å, c = 9.000 Å, α = 90.00°, β = 124.07° and γ = 90.00°. The asymmetric unit holds Ge at (0.000, 0.000, 0.000), Se at (0.311, 0.173, 0.798), O at (0.194, 0.087, 0.242), O at (0.284, 0.163, 0.984) and O at (0.288, 0.715, 0.585).

Entry 6:
DFT (PBE) results for a geometry-optimized Sm4GeSe2O structure.

Its crystal system is monoclinic. As for the total energy: -6.17 eV/atom.

It has space group P2/m (No. 10), with a = 6.881 Å, b = 4.051 Å, c = 7.187 Å, α = 90.00°, β = 109.18° and γ = 90.00°. The asymmetric unit holds Sm at (0.227, 0.000, 0.219), Sm at (0.236, 0.500, 0.776), Ge at (0.500, 0.000, 0.000), Se at (0.000, 0.000, 0.500), Se at (0.500, 0.500, 0.500) and O at (0.000, 0.500, 0.000).

Entry 7:
DFT (PBE) results for a geometry-optimized SnGeSe2O structure.

Its crystal system is tetragonal. As for the total energy: -3.02 eV/atom.

It has space group P4/mmm (No. 123), with a = 5.172 Å, b = 5.172 Å, c = 5.584 Å, α = 90.00°, β = 90.00° and γ = 90.00°. The asymmetric unit holds Sn at (0.000, 0.000, 0.000), Ge at (0.000, 0.000, 0.500), Se at (0.000, 0.500, 0.000) and O at (0.500, 0.500, 0.500).

Entry 8:
DFT (PBE) results for a geometry-optimized SrGeSeO6 structure.

Its crystal system is trigonal. As for the total energy: -5.98 eV/atom.

It has space group P-31c (No. 163), with a = 4.9811 Å, b = 4.9811 Å, c = 10.9533 Å, α = 90.00°, β = 90.00° and γ = 120.00°. The asymmetric unit holds Sr at (0.0000, 0.0000, 0.0000), Ge at (0.3333, 0.6667, 0.2500), Se at (0.3333, 0.6667, 0.7500) and O at (0.0127, 0.3893, 0.6533).